HoGaAgPb after structural relaxation, computed with PBE.

Cell and atoms, written as CIF:
```
data_HoGaAgPb
_chemical_formula_sum 'Ho1 Ga1 Ag1 Pb1'
_cell_length_a 5.100
_cell_length_b 5.100
_cell_length_c 5.100
_cell_angle_alpha 60.00
_cell_angle_beta 60.00
_cell_angle_gamma 60.00
_space_group_name_H-M_alt 'P 1'
_space_group_IT_number 1
loop_
_space_group_symop_operation_xyz
'x,y,z'
loop_
_atom_site_label
_atom_site_fract_x
_atom_site_fract_y
_atom_site_fract_z
Ga1 0.750 0.750 0.750
Ho1 0.000 0.000 0.000
Ag1 0.250 0.250 0.250
Pb1 0.500 0.500 0.500
```

Output
**SG**: F-43m, No. 216
**E_form**: -0.18 eV/atom
**V**: 93.8 Å³/f.u.
**ρ**: 9.7 g/cm³